VASP calculation (PBE) on a geometry-optimized Y12As3O5 structure.

Summary:
Formation energy from raw total energies   -1.77 eV per atom
ρ   5.14 g/cm³

Geometry as CIF:
```
data_Y12As3O5
_cell_length_a 15.247
_cell_length_b 15.247
_cell_length_c 15.247
_cell_angle_alpha 90.00
_cell_angle_beta 90.00
_cell_angle_gamma 90.00
_space_group_name_H-M_alt 'I a -3 d'
_space_group_IT_number 230
_space_group_name_Hall '-I 4bd 2c 3'
loop_
_atom_site_label
_atom_site_type_symbol
_atom_site_fract_x
_atom_site_fract_y
_atom_site_fract_z
_atom_site_occupancy
Y1 Y 0.037 0.052 0.650 1
As1 As 0.000 0.250 0.125 1
O1 O 0.000 0.000 0.000 1
O2 O 0.000 0.250 0.375 1
```